(1)
Material: SbOs3
Method: DFT, PBE
State: optimized geometry

a b c (Å): 3.030 4.559 9.219
angles (deg): 90.00 90.00 90.00
Fractional positions:
1 Sb 0.000 0.000 0.000
2 Sb 0.500 0.500 0.500
3 Os 0.000 0.000 0.500
4 Os 0.000 0.500 0.271
5 Os 0.000 0.500 0.729
6 Os 0.500 0.000 0.229
7 Os 0.500 0.000 0.771
8 Os 0.500 0.500 0.000

Computed properties:
Uncorrected energy = -8.687 eV/atom
Crystal system = orthorhombic
SG = Immm

(2)
Material: LaGdLuPa
Method: DFT, PBE
State: optimized geometry

a b c (Å): 7.934 7.934 7.934
angles (deg): 90.00 90.00 90.00
Fractional positions:
1 La 0.000 0.000 0.000
2 La 0.000 0.500 0.500
3 La 0.500 0.000 0.500
4 La 0.500 0.500 0.000
5 Gd 0.000 0.000 0.500
6 Gd 0.000 0.500 0.000
7 Gd 0.500 0.000 0.000
8 Gd 0.500 0.500 0.500
9 Lu 0.250 0.250 0.750
10 Lu 0.250 0.750 0.250
11 Lu 0.750 0.250 0.250
12 Lu 0.750 0.750 0.750
13 Pa 0.250 0.250 0.250
14 Pa 0.250 0.750 0.750
15 Pa 0.750 0.250 0.750
16 Pa 0.750 0.750 0.250

Computed properties:
Uncorrected energy = -7.892 eV/atom
Crystal system = cubic
SG = F-43m
Formation enthalpy at 0 K = 0.365 eV/atom

(3)
Material: CaPaAgAu
Method: DFT, PBE
State: optimized geometry

a b c (Å): 7.278 7.278 7.278
angles (deg): 90.00 90.00 90.00
Fractional positions:
1 Ca 0.000 0.000 0.000
2 Ca 0.000 0.500 0.500
3 Ca 0.500 0.000 0.500
4 Ca 0.500 0.500 0.000
5 Pa 0.000 0.000 0.500
6 Pa 0.000 0.500 0.000
7 Pa 0.500 0.000 0.000
8 Pa 0.500 0.500 0.500
9 Ag 0.250 0.250 0.750
10 Ag 0.250 0.750 0.250
11 Ag 0.750 0.250 0.250
12 Ag 0.750 0.750 0.750
13 Au 0.250 0.250 0.250
14 Au 0.250 0.750 0.750
15 Au 0.750 0.250 0.750
16 Au 0.750 0.750 0.250

Computed properties:
Uncorrected energy = -4.528 eV/atom
Crystal system = cubic
SG = F-43m
Formation enthalpy at 0 K = -0.122 eV/atom

(4)
Material: AlHgSb
Method: DFT, PBE
State: optimized geometry

a b c (Å): 5.065 5.065 3.264
angles (deg): 90.00 90.00 120.00
Fractional positions:
1 Al 0.000 0.000 0.000
2 Hg 0.333 0.667 0.471
3 Sb 0.667 0.333 0.961

Computed properties:
Uncorrected energy = -2.524 eV/atom
Crystal system = trigonal
SG = P3m1
Energy above the lowest structure with this stoichiometry = 0.39 eV/f.u.

(5)
Material: Ta5Nb4
Method: DFT, PBE
State: optimized geometry

a b c (Å): 8.433 8.433 5.429
angles (deg): 90.00 90.00 120.00
Fractional positions:
1 Ta 0.000 0.308 0.250
2 Ta 0.000 0.692 0.750
3 Ta 0.308 0.000 0.250
4 Ta 0.308 0.308 0.750
5 Ta 0.333 0.667 0.000
6 Ta 0.333 0.667 0.500
7 Ta 0.667 0.333 0.000
8 Ta 0.667 0.333 0.500
9 Ta 0.692 0.000 0.750
10 Ta 0.692 0.692 0.250
11 Nb 0.000 0.000 0.000
12 Nb 0.000 0.000 0.500
13 Nb 0.000 0.361 0.750
14 Nb 0.000 0.639 0.250
15 Nb 0.361 0.000 0.750
16 Nb 0.361 0.361 0.250
17 Nb 0.639 0.000 0.250
18 Nb 0.639 0.639 0.750

Computed properties:
Uncorrected energy = -10.874 eV/atom
Crystal system = hexagonal
SG = P6_3/mcm
Energy above the lowest structure with this stoichiometry = 1.79 eV/f.u.
Formation enthalpy at 0 K = 0.187 eV/atom

(6)
Material: CdH2Cl2
Method: DFT, PBE
State: optimized geometry

a b c (Å): 6.706 3.884 8.338
angles (deg): 90.00 92.45 90.00
Fractional positions:
1 Cd 0.000 0.000 0.000
2 Cd 0.500 0.500 0.000
3 H 0.052 0.000 0.519
4 H 0.448 0.500 0.481
5 H 0.552 0.500 0.519
6 H 0.948 0.000 0.481
7 Cl 0.175 0.500 0.174
8 Cl 0.325 0.000 0.826
9 Cl 0.675 0.000 0.174
10 Cl 0.825 0.500 0.826

Computed properties:
Uncorrected energy = -2.929 eV/atom
Crystal system = monoclinic
SG = C2/m

(7)
Material: Ba2BiPAu
Method: DFT, PBE
State: optimized geometry

a b c (Å): 6.356 6.356 4.569
angles (deg): 90.00 90.00 90.00
Fractional positions:
1 Ba 0.000 0.500 0.000
2 Ba 0.500 0.000 0.000
3 Bi 0.000 0.000 0.500
4 P 0.500 0.500 0.000
5 Au 0.500 0.500 0.500

Computed properties:
Uncorrected energy = -3.965 eV/atom
Crystal system = tetragonal
SG = P4/mmm
Formation enthalpy at 0 K = -0.682 eV/atom

(8)
Material: SrPaZn
Method: DFT, PBE
State: optimized geometry

a b c (Å): 16.567 3.404 5.894
angles (deg): 90.00 90.00 90.00
Fractional positions:
1 Sr 0.160 0.000 0.000
2 Sr 0.160 0.500 0.500
3 Sr 0.840 0.000 0.000
4 Sr 0.840 0.500 0.500
5 Pa 0.356 0.000 0.666
6 Pa 0.356 0.500 0.166
7 Pa 0.644 0.000 0.666
8 Pa 0.644 0.500 0.166
9 Zn 0.000 0.000 0.667
10 Zn 0.000 0.500 0.167
11 Zn 0.500 0.000 0.999
12 Zn 0.500 0.500 0.499

Computed properties:
Uncorrected energy = -3.735 eV/atom
Crystal system = orthorhombic
SG = Amm2
Formation enthalpy at 0 K = 0.416 eV/atom

(9)
Material: Cd2TeCl
Method: DFT, PBE
State: optimized geometry

a b c (Å): 7.722 7.751 4.365
angles (deg): 90.00 124.23 90.00
Fractional positions:
1 Cd 0.000 0.239 0.000
2 Cd 0.000 0.761 0.000
3 Cd 0.500 0.261 0.000
4 Cd 0.500 0.739 0.000
5 Te 0.000 0.500 0.500
6 Te 0.500 0.000 0.500
7 Cl 0.000 0.000 0.500
8 Cl 0.500 0.500 0.500

Computed properties:
Uncorrected energy = -2.021 eV/atom
Crystal system = monoclinic
SG = C2/m
Energy above the lowest structure with this stoichiometry = 0.60 eV/f.u.

(10)
Material: KAl2Pt2
Method: DFT, PBE
State: optimized geometry

a b c (Å): 7.952 7.952 2.789
angles (deg): 90.00 90.00 90.00
Fractional positions:
1 K 0.000 0.000 0.000
2 K 0.500 0.500 0.000
3 Al 0.125 0.375 0.000
4 Al 0.375 0.875 0.000
5 Al 0.625 0.125 0.000
6 Al 0.875 0.625 0.000
7 Pt 0.166 0.666 0.500
8 Pt 0.334 0.166 0.500
9 Pt 0.666 0.834 0.500
10 Pt 0.834 0.334 0.500

Computed properties:
Uncorrected energy = -4.779 eV/atom
Crystal system = tetragonal
SG = P4/mbm
Energy above the lowest structure with this stoichiometry = 0.00 eV/f.u.
Formation enthalpy at 0 K = -0.646 eV/atom

(11)
Material: Pm2CoBi
Method: DFT, PBE
State: optimized geometry

a b c (Å): 7.482 7.482 7.482
angles (deg): 90.00 90.00 90.00
Fractional positions:
1 Pm 0.250 0.250 0.250
2 Pm 0.250 0.250 0.750
3 Pm 0.250 0.750 0.250
4 Pm 0.250 0.750 0.750
5 Pm 0.750 0.250 0.250
6 Pm 0.750 0.250 0.750
7 Pm 0.750 0.750 0.250
8 Pm 0.750 0.750 0.750
9 Co 0.000 0.000 0.000
10 Co 0.000 0.500 0.500
11 Co 0.500 0.000 0.500
12 Co 0.500 0.500 0.000
13 Bi 0.000 0.000 0.500
14 Bi 0.000 0.500 0.000
15 Bi 0.500 0.000 0.000
16 Bi 0.500 0.500 0.500

Computed properties:
Uncorrected energy = -5.296 eV/atom
Crystal system = cubic
SG = Fm-3m
Energy above the lowest structure with this stoichiometry = 0.50 eV/f.u.
Formation enthalpy at 0 K = -0.174 eV/atom

(12)
Material: Rb2AlSe
Method: DFT, PBE
State: optimized geometry

a b c (Å): 13.004 13.004 5.231
angles (deg): 90.00 90.00 90.00
Fractional positions:
1 Rb 0.064 0.250 0.125
2 Rb 0.250 0.564 0.375
3 Rb 0.250 0.936 0.875
4 Rb 0.436 0.250 0.625
5 Rb 0.564 0.750 0.625
6 Rb 0.750 0.064 0.875
7 Rb 0.750 0.436 0.375
8 Rb 0.936 0.750 0.125
9 Al 0.000 0.000 0.500
10 Al 0.000 0.500 0.750
11 Al 0.500 0.000 0.250
12 Al 0.500 0.500 0.000
13 Se 0.000 0.000 0.000
14 Se 0.000 0.500 0.250
15 Se 0.500 0.000 0.750
16 Se 0.500 0.500 0.500

Computed properties:
Uncorrected energy = -2.486 eV/atom
Crystal system = tetragonal
SG = I-42d
Energy above the lowest structure with this stoichiometry = 0.00 eV/f.u.

Question: uncorrected energy of number 12 (Rb2AlSe)?
Answer: -2.486 eV/atom

Question: Which of these has the lowest uncorrected energy?
Answer: Ta5Nb4

Question: Which of these has the lowest uncorrected energy?
Answer: Ta5Nb4

Question: The highest uncorrected energy belongs to which entry?
Answer: Cd2TeCl